# FeC | Alexandria | GGA-PBE | optimized geometry
# DFT formation energy: 0.798 eV per atom
# Uncorrected energy: -8.0455 eV per atom
data_FeC
_cell_length_a 8.837
_cell_length_b 2.557
_cell_length_c 2.973
_cell_angle_alpha 90.00
_cell_angle_beta 98.81
_cell_angle_gamma 90.00
_symmetry_space_group_name_H-M 'C 1 2/m 1'
_symmetry_Int_Tables_number 12
loop_
_symmetry_equiv_pos_as_xyz
'x,y,z'
'-x,-y,-z'
'-x,y,-z'
'x,-y,z'
'x+1/2,y+1/2,z'
'-x+1/2,-y+1/2,-z'
'-x+1/2,y+1/2,-z'
'x+1/2,-y+1/2,z'
loop_
_atom_site_label
_atom_site_fract_x
_atom_site_fract_y
_atom_site_fract_z
_atom_site_occupancy
Fe1 0.130 0.000 0.284 1
C1 0.153 0.500 0.791 1